Entry from the Alexandria database: a relaxed structure of EuPu2Os (PBE).

Unit cell a=4.0016 b=4.0016 c=8.9804 alpha=77.13 beta=77.13 gamma=60.00
Closest atoms and distances in Å follow each position.
Element x y z (fractional)
Pu (0.7226, 0.7226, 0.8323)  3 Os 2.73
Eu (0.5000, 0.5000, 0.5000)  6 Pu 3.70, 6 Eu 4.00
Pu (0.2774, 0.2774, 0.1677)  3 Os 2.73
Os (0.0000, 0.0000, 0.0000)  6 Pu 2.73

Output
**Volume**: 30.086 Å³ per atom
**Energy of formation from the pure elements**: 0.1839 eV per atom
**Final energy**: -12.358 eV/atom
**Offset from the most stable computed form**: 94 meV per atom
**Crystal system**: trigonal
**DOS(E_F)**: 16.98 states/eV per cell

***

Entry from the Alexandria database: a relaxed structure of Er2ScHg (PBE).

Unit cell a=3.5131 b=3.5131 c=8.5990 alpha=90.00 beta=90.00 gamma=90.00
Closest atoms and distances in Å follow each position.
Element x y z (fractional)
Er (0.0000, 0.0000, 0.2375)  4 Hg 3.22, 4 Sc 3.36, 4 Er 3.51
Er (0.0000, 0.0000, 0.7625)  4 Hg 3.22, 4 Sc 3.36, 4 Er 3.51
Hg (0.5000, 0.5000, 0.0000)  8 Er 3.22, 4 Hg 3.51
Sc (0.5000, 0.5000, 0.5000)  8 Er 3.36, 4 Sc 3.51

Output
**Volume**: 26.533 Å³ per atom
**Energy of formation from the pure elements**: -0.2127 eV per atom
**Final energy**: -4.152 eV/atom
**Offset from the most stable computed form**: 0 meV per atom
**Crystal system**: tetragonal
**DOS(E_F)**: 4.91 states/eV per cell

***

Entry from the Alexandria database: a relaxed structure of PmGaPdPb (PBE).

Unit cell a=5.0329 b=5.0329 c=5.0329 alpha=60.00 beta=60.00 gamma=60.00
Closest atoms and distances in Å follow each position.
Element x y z (fractional)
Pm (0.0000, 0.0000, 0.0000)  4 Ga 3.08, 4 Pd 3.08
Pd (0.2500, 0.2500, 0.2500)  4 Pm 3.08, 4 Pb 3.08
Ga (0.7500, 0.7500, 0.7500)  4 Pb 3.08, 4 Pm 3.08
Pb (0.5000, 0.5000, 0.5000)  4 Pd 3.08, 4 Ga 3.08

Output
**Volume**: 22.536 Å³ per atom
**Energy of formation from the pure elements**: -0.5087 eV per atom
**Final energy**: -4.678 eV/atom
**Crystal system**: cubic
**DOS(E_F)**: 0.68 states/eV per cell

***

Entry from the Alexandria database: a relaxed structure of K2Cd2O3 (PBE).

Unit cell a=3.4166 b=5.9848 c=6.6345 alpha=98.22 beta=90.02 gamma=106.60
Closest atoms and distances in Å follow each position.
Element x y z (fractional)
K (0.1339, 0.2674, 0.3667)  4 O 2.63-2.73
O (0.0000, 0.0000, 0.0000)  4 Cd 2.40, 2 K 2.68
Cd (0.6335, 0.2674, 0.9238)  5 O 2.30-2.41
O (0.2230, 0.4466, 0.7716)  3 Cd 2.30-2.41
Cd (0.3665, 0.7326, 0.0762)  5 O 2.30-2.41
K (0.8661, 0.7326, 0.6333)  4 O 2.63-2.73
O (0.7770, 0.5534, 0.2284)  3 Cd 2.30-2.41

Output
**Volume**: 18.364 Å³ per atom
**Final energy**: -3.768 eV/atom
**Crystal system**: monoclinic
**DOS(E_F)**: 0.40 states/eV per cell